(1)
FeAuCl2 | PBE | optimized geometry

Properties
Calculated total energy (eV for the cell shown): -15.52
M_tot (μB/cell): 4.0
Space group: No. 10
Theoretical density (g/cm3): 5.38
Formation energy (no corrections) (meV/atom): -21

abc: 3.1256 3.1405 10.1747
angles: 89.12 90.00 90.00
Closest atoms and distances in Å follow each position.
Element x y z (fractional)
Au  0.5000  0.7500  0.7500  4 Au 3.13-3.14
Cl  0.0000  0.4150  0.4093  2 Fe 2.32
Cl  0.0000  0.0850  0.0907  2 Fe 2.32
Fe  0.5000  0.2500  0.2500  4 Cl 2.32

***

(2)
NbGeN2 | PBE | optimized geometry

Properties
Calculated total energy (eV for the cell shown): -62.77
M_tot (μB/cell): 0.0
Space group: No. 122
Theoretical density (g/cm3): 5.02
Formation energy (no corrections) (meV/atom): -11

abc: 5.2080 5.2080 5.9845
angles: 64.21 64.21 90.00
Closest atoms and distances in Å follow each position.
Element x y z (fractional)
Nb  0.7500  0.2500  0.5000  4 N 1.98
Nb  0.0000  0.0000  0.0000  4 N 1.98
Ge  0.2500  0.7500  0.5000  4 N 2.43
Ge  0.5000  0.5000  0.0000  4 N 2.43
N  0.3750  0.3019  0.7500  2 Nb 1.98
N  0.8750  0.9481  0.7500  2 Nb 1.98
N  0.0519  0.6250  0.2500  2 Nb 1.98
N  0.6981  0.1250  0.2500  2 Nb 1.98

***

(3)
PaNbHgO6 | PBE | optimized geometry

Properties
Calculated total energy (eV for the cell shown): -138.20
M_tot (μB/cell): 0.5
Space group: No. 74
Theoretical density (g/cm3): 6.01
Formation energy (no corrections) (meV/atom): -2165

abc: 8.3565 7.6086 7.8126
angles: 119.14 122.33 90.00
Closest atoms and distances in Å follow each position.
Element x y z (fractional)
Nb  0.5000  0.0000  0.0000  6 O 1.98-2.01
Nb  0.5000  0.5000  0.0000  6 O 1.98-2.01
O  0.2034  0.9309  0.7498  1 Nb 2.01, 1 Pa 2.10
O  0.8490  0.0990  0.6981  1 Hg 2.15, 2 Pa 2.35
O  0.4478  0.6978  0.8957  2 Nb 1.98
O  0.4536  0.0691  0.2502  1 Nb 2.01, 1 Pa 2.10
O  0.5464  0.3189  0.7498  1 Nb 2.01, 1 Pa 2.10
O  0.7966  0.0691  0.2502  1 Nb 2.01, 1 Pa 2.10
O  0.5522  0.3022  0.1043  2 Nb 1.98
O  0.4536  0.6811  0.2502  1 Nb 2.01, 1 Pa 2.10
O  0.1510  0.9010  0.3019  1 Hg 2.15, 2 Pa 2.35
O  0.2034  0.3189  0.7498  1 Nb 2.01, 1 Pa 2.10
O  0.7966  0.6811  0.2502  1 Nb 2.01, 1 Pa 2.10
O  0.5464  0.9309  0.7498  1 Nb 2.01, 1 Pa 2.10
Hg  0.0482  0.2982  0.0964  1 O 2.15
Hg  0.9518  0.7018  0.9036  1 O 2.15
Pa  0.0000  0.0000  0.5000  6 O 2.10-2.35
Pa  0.5000  0.0000  0.5000  6 O 2.10-2.35

***

(4)
LiSm2P3Ir12 | PBE | optimized geometry

Properties
Formation energy from the elements (eV per atom): -0.05
Calculated total energy (eV for the cell shown): -134.89
M_tot (μB/cell): 0.0
Space group: No. 166
Theoretical density (g/cm3): 15.06

abc: 6.7238 6.7238 6.7238
angles: 83.44 83.44 83.44
Closest atoms and distances in Å follow each position.
Element x y z (fractional)
Ir  0.3719  0.8980  0.3719  2 P 2.59, 1 Ir 2.67
Ir  0.8287  0.8287  0.3206  1 P 2.25
Ir  0.1020  0.6281  0.6281  2 P 2.59, 1 Ir 2.67
Ir  0.3719  0.3719  0.8980  2 P 2.59, 1 Ir 2.67
Ir  0.6794  0.1713  0.1713  1 P 2.25
Ir  0.3206  0.8287  0.8287  1 P 2.25
Ir  0.1713  0.1713  0.6794  1 P 2.25
Ir  0.6281  0.1020  0.6281  2 P 2.59, 1 Ir 2.67
Ir  0.8287  0.3206  0.8287  1 P 2.25
Ir  0.6281  0.6281  0.1020  2 P 2.59, 1 Ir 2.67
Ir  0.1713  0.6794  0.1713  1 P 2.25
Ir  0.8980  0.3719  0.3719  2 P 2.59, 1 Ir 2.67
P  0.0000  0.0000  0.5000  2 Ir 2.25
P  0.5000  0.0000  0.0000  2 Ir 2.25
P  0.0000  0.5000  0.0000  2 Ir 2.25
Sm  0.6286  0.6286  0.6286  6 Ir 2.66-2.91
Sm  0.3714  0.3714  0.3714  6 Ir 2.66-2.91
Li  0.0000  0.0000  0.0000  6 Ir 2.54

***

(5)
OsPd2Rh5 | PBE | optimized geometry

Properties
Formation energy from the elements (eV per atom): 0.04
Calculated total energy (eV for the cell shown): -58.04
M_tot (μB/cell): 0.0
Space group: No. 139
Theoretical density (g/cm3): 13.15

abc: 3.8667 3.8667 8.2173
angles: 103.61 103.61 90.00
Closest atoms and distances in Å follow each position.
Element x y z (fractional)
Rh  0.3808  0.8808  0.7617  6 Rh 2.67-2.73, 2 Os 2.67, 4 Pd 2.78-2.82
Rh  0.5000  0.5000  0.0000  8 Rh 2.67, 4 Os 2.73
Rh  0.1192  0.6192  0.2383  2 Os 2.67, 6 Rh 2.67-2.73, 4 Pd 2.78-2.82
Rh  0.6192  0.1192  0.2383  6 Rh 2.67-2.73, 2 Os 2.67, 4 Pd 2.78-2.82
Rh  0.8808  0.3808  0.7617  2 Os 2.67, 6 Rh 2.67-2.73, 4 Pd 2.78-2.82
Os  0.0000  0.0000  0.0000  12 Rh 2.67-2.73
Pd  0.7481  0.7481  0.4962  4 Pd 2.73, 8 Rh 2.78-2.82
Pd  0.2519  0.2519  0.5038  4 Pd 2.73, 8 Rh 2.78-2.82

***

(6)
KOs2Cl | PBE | optimized geometry

Properties
Calculated total energy (eV for the cell shown): -24.38
M_tot (μB/cell): 0.0
Space group: No. 38
Theoretical density (g/cm3): 9.26
Formation energy (no corrections) (meV/atom): 256

abc: 3.4913 2.9217 8.1263
angles: 79.70 90.00 90.00
Closest atoms and distances in Å follow each position.
Element x y z (fractional)
Os  0.0000  0.0243  0.0755  4 Os 2.54
Os  0.5000  0.4543  0.2160  4 Os 2.54, 2 Cl 2.72
Cl  0.0000  0.3244  0.4769  2 Os 2.72, 2 Cl 2.92
K  0.5000  0.6970  0.7316  2 K 2.92, 4 Cl 3.05-3.06